1.
Pm3UAg3Te8 | PBE | optimized geometry

Output
symmetry: C2/m
calculated total energy: -4.74 eV/atom
E_form (uncorrected): -11.897 eV per formula unit

Cell: 8.6622 8.6622 8.6858 Å, 117.72 117.72 62.39°
Last column: nearest neighbours and their distance in Å.
Fractional positions:
Pm 0.0000 0.0000 0.0000  6 Te 3.15-3.17
Pm 0.0000 0.5000 0.5000  6 Te 3.15-3.17
Pm 0.5000 0.0000 0.5000  6 Te 3.15-3.17
U 0.5000 0.5000 0.0000  6 Te 3.09
Ag 0.0000 0.5000 0.0000  6 Te 3.07-3.09
Ag 0.5000 0.0000 0.0000  6 Te 3.07-3.09
Ag 0.5000 0.5000 0.5000  6 Te 3.06-3.09
Te 0.2517 0.2517 0.7567  1 U 3.09, 2 Ag 3.09, 2 Pm 3.15
Te 0.2517 0.7419 0.2470  2 Ag 3.07-3.09, 1 U 3.09, 2 Pm 3.15
Te 0.2547 0.2547 0.2466  3 Ag 3.06-3.08, 3 Pm 3.17
Te 0.2581 0.7483 0.7530  2 Ag 3.07-3.09, 1 U 3.09, 2 Pm 3.15
Te 0.7419 0.2517 0.2470  2 Ag 3.07-3.09, 1 U 3.09, 2 Pm 3.15
Te 0.7453 0.7453 0.7534  3 Ag 3.06-3.08, 3 Pm 3.17
Te 0.7483 0.2581 0.7530  2 Ag 3.07-3.09, 1 U 3.09, 2 Pm 3.15
Te 0.7483 0.7483 0.2433  1 U 3.09, 2 Ag 3.09, 2 Pm 3.15

2.
Co2RuCl | PBE | optimized geometry

Output
relative energy among the computed polymorphs: 0.1839 eV per atom
symmetry: Cmmm
calculated total energy: -5.80 eV/atom
E_form (uncorrected): 2.142 eV per formula unit

Cell: 3.0351 4.8107 7.8065 Å, 90.00 90.00 90.00°
Last column: nearest neighbours and their distance in Å.
Fractional positions:
Co 0.0000 0.0000 0.2480  2 Ru 2.46, 2 Cl 2.48
Co 0.0000 0.0000 0.7520  2 Ru 2.46, 2 Cl 2.48
Co 0.5000 0.5000 0.2480  2 Ru 2.46, 2 Cl 2.48
Co 0.5000 0.5000 0.7520  2 Ru 2.46, 2 Cl 2.48
Ru 0.0000 0.5000 0.0000  4 Co 2.46
Ru 0.5000 0.0000 0.0000  4 Co 2.46
Cl 0.0000 0.5000 0.5000  4 Co 2.48
Cl 0.5000 0.0000 0.5000  4 Co 2.48

3.
Tb2Nd2Y2Tm | PBE | optimized geometry

Output
symmetry: C2/m
energy of formation from the pure elements: 0.09 eV/atom
calculated total energy: -5.09 eV/atom

Cell: 11.7835 3.5271 11.8412 Å, 90.00 108.75 90.00°
Last column: nearest neighbours and their distance in Å.
Fractional positions:
Tb 0.2290 0.0000 0.3654  3 Y 3.49-3.60, 4 Tb 3.53-3.54, 3 Tm 3.55, 2 Nd 3.61
Tb 0.2710 0.5000 0.6346  3 Y 3.49-3.60, 4 Tb 3.53-3.54, 3 Tm 3.55, 2 Nd 3.61
Tb 0.7290 0.5000 0.3654  3 Y 3.49-3.60, 4 Tb 3.53-3.54, 3 Tm 3.55, 2 Nd 3.61
Tb 0.7710 0.0000 0.6346  3 Y 3.49-3.60, 4 Tb 3.53-3.54, 3 Tm 3.55, 2 Nd 3.61
Nd 0.1732 0.5000 0.0867  5 Nd 3.53-3.94, 4 Y 3.54-3.63, 2 Tb 3.61
Nd 0.3268 0.0000 0.9133  5 Nd 3.53-3.94, 4 Y 3.54-3.63, 2 Tb 3.61
Nd 0.6732 0.0000 0.0867  5 Nd 3.53-3.94, 4 Y 3.54-3.63, 2 Tb 3.61
Nd 0.8268 0.5000 0.9133  5 Nd 3.53-3.94, 4 Y 3.54-3.63, 2 Tb 3.61
Y 0.0484 0.5000 0.7699  3 Tb 3.49-3.60, 2 Y 3.53, 2 Tm 3.53, 4 Nd 3.54-3.63
Y 0.4516 0.0000 0.2301  3 Tb 3.49-3.60, 2 Y 3.53, 2 Tm 3.53, 4 Nd 3.54-3.63
Y 0.5484 0.0000 0.7699  3 Tb 3.49-3.60, 2 Y 3.53, 2 Tm 3.53, 4 Nd 3.54-3.63
Y 0.9516 0.5000 0.2301  3 Tb 3.49-3.60, 2 Y 3.53, 2 Tm 3.53, 4 Nd 3.54-3.63
Tm 0.0000 0.0000 0.5000  2 Tm 3.53, 4 Y 3.53, 6 Tb 3.55
Tm 0.5000 0.5000 0.5000  2 Tm 3.53, 4 Y 3.53, 6 Tb 3.55

4.
AlMo2W | PBE | optimized geometry

Output
symmetry: P2/m
energy of formation from the pure elements: -0.04 eV/atom
calculated total energy: -9.63 eV/atom

Cell: 2.7263 4.4002 5.3440 Å, 90.00 101.58 90.00°
Last column: nearest neighbours and their distance in Å.
Fractional positions:
Al 0.0000 0.0000 0.0000  2 Al 2.73, 2 W 2.75, 4 Mo 2.75
Mo 0.2838 0.5000 0.7554  4 Mo 2.64-2.85, 2 W 2.72, 2 Al 2.75
Mo 0.7162 0.5000 0.2446  4 Mo 2.64-2.85, 2 W 2.72, 2 Al 2.75
W 0.5000 0.0000 0.5000  4 Mo 2.72, 2 W 2.73, 2 Al 2.75

5.
InIr2Br | PBE | optimized geometry

Output
relative energy among the computed polymorphs: 0.5102 eV per atom
symmetry: P4/mmm
calculated total energy: -4.73 eV/atom
E_form (uncorrected): 3.208 eV per formula unit

Cell: 4.3439 4.3439 3.7056 Å, 90.00 90.00 90.00°
Last column: nearest neighbours and their distance in Å.
Fractional positions:
In 0.0000 0.0000 0.0000  8 Ir 2.85, 4 Br 3.07
Ir 0.0000 0.5000 0.5000  4 In 2.85, 4 Br 2.85, 4 Ir 3.07
Ir 0.5000 0.0000 0.5000  4 In 2.85, 4 Br 2.85, 4 Ir 3.07
Br 0.5000 0.5000 0.0000  8 Ir 2.85, 4 In 3.07

6.
Ac2Ga3SnAu4 | PBE | optimized geometry

Output
symmetry: P-4m2
energy of formation from the pure elements: -0.66 eV/atom
calculated total energy: -4.11 eV/atom

Cell: 4.6546 4.6546 10.7564 Å, 90.00 90.00 90.00°
Last column: nearest neighbours and their distance in Å.
Fractional positions:
Ac 0.0000 0.5000 0.2389  8 Au 3.47-3.53, 7 Ga 3.53-3.87, 2 Sn 3.65
Ac 0.5000 0.0000 0.7611  8 Au 3.47-3.53, 7 Ga 3.53-3.87, 2 Sn 3.65
Ga 0.0000 0.5000 0.8790  5 Au 2.55-2.67
Ga 0.5000 0.0000 0.1210  5 Au 2.55-2.67
Ga 0.5000 0.5000 0.5000  4 Au 2.78
Sn 0.0000 0.0000 0.5000  4 Au 2.78
Au 0.0000 0.0000 0.0000  4 Ga 2.67
Au 0.0000 0.5000 0.6414  3 Ga 2.55-2.78, 2 Sn 2.78
Au 0.5000 0.0000 0.3586  3 Ga 2.55-2.78, 2 Sn 2.78
Au 0.5000 0.5000 0.0000  4 Ga 2.67

7.
Ca2ThH6 | PBE | optimized geometry

Output
symmetry: Fm-3m
calculated total energy: -3.42 eV/atom

Cell: 5.8205 5.8205 5.8205 Å, 60.00 60.00 60.00°
Last column: nearest neighbours and their distance in Å.
Fractional positions:
Ca 0.2500 0.2500 0.2500  12 H 2.92
Ca 0.7500 0.7500 0.7500  12 H 2.92
Th 0.0000 0.0000 0.0000  6 H 2.25
H 0.2728 0.2728 0.7272  1 Th 2.25
H 0.2728 0.7272 0.2728  1 Th 2.25
H 0.2728 0.7272 0.7272  1 Th 2.25
H 0.7272 0.2728 0.2728  1 Th 2.25
H 0.7272 0.2728 0.7272  1 Th 2.25
H 0.7272 0.7272 0.2728  1 Th 2.25

8.
SiNiS | PBE | optimized geometry

Output
symmetry: C2/m
calculated total energy: -5.36 eV/atom
E_form (uncorrected): -0.742 eV per formula unit

Cell: 10.1345 3.1317 6.7327 Å, 90.00 126.14 90.00°
Last column: nearest neighbours and their distance in Å.
Fractional positions:
Si 0.1266 0.0000 0.3474  3 Ni 2.30-2.35, 2 S 2.31
Si 0.3734 0.5000 0.6526  3 Ni 2.30-2.35, 2 S 2.31
Si 0.6266 0.5000 0.3474  3 Ni 2.30-2.35, 2 S 2.31
Si 0.8734 0.0000 0.6526  3 Ni 2.30-2.35, 2 S 2.31
Ni 0.2445 0.5000 0.2353  3 Si 2.30-2.35, 3 S 2.31-2.52
Ni 0.2555 0.0000 0.7647  3 Si 2.30-2.35, 3 S 2.31-2.52
Ni 0.7445 0.0000 0.2353  3 Si 2.30-2.35, 3 S 2.31-2.52
Ni 0.7555 0.5000 0.7647  3 Si 2.30-2.35, 3 S 2.31-2.52
S 0.0796 0.5000 0.8103  2 Si 2.31, 3 Ni 2.31-2.52
S 0.4204 0.0000 0.1897  2 Si 2.31, 3 Ni 2.31-2.52
S 0.5796 0.0000 0.8103  2 Si 2.31, 3 Ni 2.31-2.52
S 0.9204 0.5000 0.1897  2 Si 2.31, 3 Ni 2.31-2.52

9.
CrFeAu3 | PBE | optimized geometry

Output
relative energy among the computed polymorphs: 0.5092 eV per atom
symmetry: Pm-3m
energy of formation from the pure elements: 1.36 eV/atom
calculated total energy: -4.23 eV/atom

Cell: 4.7909 4.7909 4.7909 Å, 90.00 90.00 90.00°
Last column: nearest neighbours and their distance in Å.
Fractional positions:
Cr 0.0000 0.0000 0.0000  6 Au 2.40
Fe 0.5000 0.5000 0.5000  12 Au 3.39
Au 0.0000 0.0000 0.5000  2 Cr 2.40
Au 0.0000 0.5000 0.0000  2 Cr 2.40
Au 0.5000 0.0000 0.0000  2 Cr 2.40

10.
Cr2Ni2Br | PBE | optimized geometry

Output
relative energy among the computed polymorphs: 0.1061 eV per atom
symmetry: P4/mbm
calculated total energy: -5.85 eV/atom
E_form (uncorrected): 3.225 eV per formula unit

Cell: 6.9573 6.9573 2.9678 Å, 90.00 90.00 90.00°
Last column: nearest neighbours and their distance in Å.
Fractional positions:
Cr 0.0992 0.4008 0.0000  1 Cr 1.95
Cr 0.4008 0.9008 0.0000  1 Cr 1.95
Cr 0.5992 0.0992 0.0000  1 Cr 1.95
Cr 0.9008 0.5992 0.0000  1 Cr 1.95
Ni 0.1806 0.6806 0.5000  6 Cr 2.51-2.63, 2 Br 2.55
Ni 0.3194 0.1806 0.5000  6 Cr 2.51-2.63, 2 Br 2.55
Ni 0.6806 0.8194 0.5000  6 Cr 2.51-2.63, 2 Br 2.55
Ni 0.8194 0.3194 0.5000  6 Cr 2.51-2.63, 2 Br 2.55
Br 0.0000 0.0000 0.5000  4 Ni 2.55
Br 0.5000 0.5000 0.5000  4 Ni 2.55

11.
Zn3Re5 | PBE | optimized geometry

Output
relative energy among the computed polymorphs: 0.0000 eV per atom
symmetry: C2/m
energy of formation from the pure elements: 0.29 eV/atom
calculated total energy: -7.97 eV/atom

Cell: 7.3467 7.3467 7.3431 Å, 96.23 96.23 141.46°
Last column: nearest neighbours and their distance in Å.
Fractional positions:
Zn 0.1790 0.8210 0.0000  10 Re 2.54-2.77
Zn 0.2502 0.7498 0.5000  2 Zn 2.42
Zn 0.3228 0.3228 0.6424  10 Re 2.54-2.77
Zn 0.6772 0.6772 0.3576  10 Re 2.54-2.77
Zn 0.7498 0.2502 0.5000  2 Zn 2.42
Zn 0.8210 0.1790 0.0000  10 Re 2.54-2.77
Re 0.0669 0.2573 0.3263  6 Zn 2.54-2.77, 3 Re 2.64-2.77
Re 0.2420 0.5679 0.8100  6 Zn 2.54-2.77, 3 Re 2.64-2.77
Re 0.2503 0.2503 0.0002  2 Re 2.42-2.43
Re 0.2573 0.0669 0.3263  6 Zn 2.54-2.77, 3 Re 2.64-2.77
Re 0.4321 0.7580 0.1900  6 Zn 2.54-2.77, 3 Re 2.64-2.77
Re 0.5679 0.2420 0.8100  6 Zn 2.54-2.77, 3 Re 2.64-2.77
Re 0.7427 0.9331 0.6737  6 Zn 2.54-2.77, 3 Re 2.64-2.77
Re 0.7497 0.7497 0.9998  2 Re 2.42-2.43
Re 0.7580 0.4321 0.1900  6 Zn 2.54-2.77, 3 Re 2.64-2.77
Re 0.9331 0.7427 0.6737  6 Zn 2.54-2.77, 3 Re 2.64-2.77

12.
LaErPdRh | PBE | optimized geometry

Output
symmetry: F-43m
energy of formation from the pure elements: -0.78 eV/atom
calculated total energy: -6.29 eV/atom

Cell: 7.0841 7.0841 7.0841 Å, 90.00 90.00 90.00°
Last column: nearest neighbours and their distance in Å.
Fractional positions:
La 0.0000 0.0000 0.0000  4 Rh 3.07, 4 Pd 3.07
La 0.0000 0.5000 0.5000  4 Rh 3.07, 4 Pd 3.07
La 0.5000 0.0000 0.5000  4 Rh 3.07, 4 Pd 3.07
La 0.5000 0.5000 0.0000  4 Rh 3.07, 4 Pd 3.07
Er 0.0000 0.0000 0.5000  4 Rh 3.07, 4 Pd 3.07
Er 0.0000 0.5000 0.0000  4 Rh 3.07, 4 Pd 3.07
Er 0.5000 0.0000 0.0000  4 Rh 3.07, 4 Pd 3.07
Er 0.5000 0.5000 0.5000  4 Rh 3.07, 4 Pd 3.07
Pd 0.2500 0.2500 0.7500  4 La 3.07, 4 Er 3.07
Pd 0.2500 0.7500 0.2500  4 La 3.07, 4 Er 3.07
Pd 0.7500 0.2500 0.2500  4 La 3.07, 4 Er 3.07
Pd 0.7500 0.7500 0.7500  4 La 3.07, 4 Er 3.07
Rh 0.2500 0.2500 0.2500  4 La 3.07, 4 Er 3.07
Rh 0.2500 0.7500 0.7500  4 La 3.07, 4 Er 3.07
Rh 0.7500 0.2500 0.7500  4 La 3.07, 4 Er 3.07
Rh 0.7500 0.7500 0.2500  4 La 3.07, 4 Er 3.07